Compound: CuTc4Pt
Source: Alexandria via LeMat-Bulk
Functional: PBE-GGA
Structure: optimized geometry

abc: 5.0817 5.0817 5.0817
angles: 60.00 60.00 60.00
Sites, in units of the cell vectors:
Cu: 0.0000 0.0000 0.0000
Tc: 0.3749 0.3749 0.3749
Tc: 0.3749 0.3749 0.8752
Tc: 0.3749 0.8752 0.3749
Tc: 0.8752 0.3749 0.3749
Pt: 0.7500 0.7500 0.7500

Calculated values
Total energy   -8.143 eV/atom
SG   No. 216
Total magnetization   0.00 Bohr magnetons per cell